{
  "formula": "Ca2Mg3In4",
  "functional": "PBE",
  "state": "relaxed",
  "lattice": [[-2.4666, 5.2786, -2.6992], [-7.3297, -1.5667, 3.6342], [3.7313, 2.1628, 8.4578]],
  "species": ["Ca", "Ca", "Ca", "Ca", "Mg", "Mg", "Mg", "Mg", "Mg", "Mg", "In", "In", "In", "In", "In", "In", "In", "In"],
  "fractional_positions": [[0.0986, 0.6056, 0.1971], [0.9014, 0.3944, 0.8029], [0.4014, 0.1056, 0.8029], [0.5986, 0.8944, 0.1971], [0.0000, 0.0000, 0.0000], [0.5000, 0.5000, 0.0000], [0.5123, 0.7500, 0.5246], [0.9877, 0.2500, 0.4754], [0.4877, 0.2500, 0.4754], [0.0123, 0.7500, 0.5246], [0.6820, 0.7500, 0.8639], [0.8180, 0.2500, 0.1361], [0.3180, 0.2500, 0.1361], [0.1820, 0.7500, 0.8639], [0.1679, 0.9828, 0.3358], [0.8321, 0.0172, 0.6642], [0.3321, 0.4828, 0.6642], [0.6679, 0.5172, 0.3358]],
  "n_ef_per_ev_cell": 8.57,
  "magnetic_moment_mub_per_fu": 0.00,
  "e_form_ev_per_atom": -0.249,
  "crystal_system": "orthorhombic"
}

=====

{
  "formula": "TaAlFe",
  "functional": "PBE",
  "state": "relaxed",
  "lattice": [[5.3256, -0.0054, 0.0059], [4.5073, 2.8367, 0.0193], [0.8183, 0.2226, 2.8335]],
  "species": ["Ta", "Al", "Fe"],
  "fractional_positions": [[0.6825, 0.6825, 0.3175], [0.9825, 0.9825, 0.0175], [0.3350, 0.3350, 0.6650]],
  "n_ef_per_ev_cell": 1.53,
  "magnetic_moment_mub_per_fu": 0.00,
  "e_form_ev_per_atom": -0.251,
  "crystal_system": "tetragonal"
}

=====

{
  "formula": "VCr2HPd",
  "functional": "PBE",
  "state": "relaxed",
  "lattice": [[3.7369, 0.0000, 0.0000], [0.0000, 3.7369, 0.0000], [0.0000, 0.0000, 3.8564]],
  "species": ["Cr", "Cr", "H", "Pd", "V"],
  "fractional_positions": [[0.0000, 0.5000, 0.0000], [0.5000, 0.0000, 0.0000], [0.0000, 0.0000, 0.0000], [0.5000, 0.5000, 0.5000], [0.0000, 0.0000, 0.5000]],
  "n_ef_per_ev_cell": 7.02,
  "magnetic_moment_mub_per_fu": 0.00,
  "final_energy_ev_per_cell": -36.7,
  "crystal_system": "tetragonal"
}